[1]
The following is a DFT calculation (PBE) of a relaxed structure of LiEu3S.

Values from the calculation:
As for the formation energy (no corrections): -3.501 eV/f.u. The density of states at the Fermi level comes out at 13.612 states/eV/cell. The density is 4.52 g/cm3.

Unit cell a=5.6635 b=5.6635 c=5.6635 alpha=90.00 beta=90.00 gamma=90.00
Space group Pm-3m (No. 221)
Symmetry-distinct sites (fractional):
Li (0.0000, 0.0000, 0.0000) [1 per cell]
Eu (0.0000, 0.5000, 0.5000) [3 per cell]
S (0.5000, 0.5000, 0.5000) [1 per cell]



[2]
The following is a DFT calculation (PBE) of a relaxed structure of HfTiTe2.

Values from the calculation:
As for the formation energy (no corrections): -1.827 eV/f.u. The density of states at the Fermi level comes out at 6.232 states/eV/cell. The calculation puts the energy above the most stable polymorph in this dataset at 17 meV/atom. The density is 8.86 g/cm3.

Unit cell a=8.4806 b=6.4965 c=6.5545 alpha=90.00 beta=90.00 gamma=90.00
Space group Cmc2_1 (No. 36)
Symmetry-distinct sites (fractional):
Hf (0.0000, 0.0838, 0.0000) [4 per cell]
Ti (0.0000, 0.3963, 0.6763) [4 per cell]
Te (0.1901, 0.2730, 0.3348) [8 per cell]



[3]
The following is a DFT calculation (PBE) of a relaxed structure of CaNd2PtO5.

Values from the calculation:
As for the formation energy (no corrections): -22.431 eV/f.u. The density of states at the Fermi level comes out at 0.000 states/eV/cell. The density is 7.52 g/cm3.

Unit cell a=6.7327 b=6.7327 c=5.8811 alpha=90.00 beta=90.00 gamma=90.00
Space group P4/mbm (No. 127)
Symmetry-distinct sites (fractional):
Ca (0.0000, 0.0000, 0.0000) [2 per cell]
Nd (0.1729, 0.3271, 0.5000) [4 per cell]
Pt (0.0000, 0.5000, 0.0000) [2 per cell]
O (0.0000, 0.0000, 0.5000) [2 per cell]
O (0.1456, 0.6456, 0.2471) [8 per cell]



[4]
The following is a DFT calculation (PBE) of a relaxed structure of Sm2Dy6YEr3.

Values from the calculation:
The density of states at the Fermi level comes out at 31.412 states/eV/cell. The density is 8.17 g/cm3. The value obtained for the formation energy is 0.018 eV/atom.

Unit cell a=6.1511 b=10.6428 c=11.7660 alpha=90.00 beta=99.97 gamma=90.00
Space group C2/m (No. 12)
Symmetry-distinct sites (fractional):
Sm (0.0000, 0.1666, 0.0000) [4 per cell]
Dy (0.2483, 0.1668, 0.7471) [8 per cell]
Dy (0.2485, 0.5000, 0.7469) [4 per cell]
Y (0.0000, 0.5000, 0.0000) [2 per cell]
Er (0.0000, 0.0000, 0.5000) [2 per cell]
Er (0.0000, 0.3335, 0.5000) [4 per cell]



[5]
The following is a DFT calculation (PBE) of a relaxed structure of Sc2AlGe2Ir5.

Values from the calculation:
The density of states at the Fermi level comes out at 6.907 states/eV/cell. The density is 12.68 g/cm3. The value obtained for the formation energy is -0.686 eV/atom.

Unit cell a=9.4637 b=9.4637 c=3.5773 alpha=90.00 beta=90.00 gamma=90.00
Space group P4/mbm (No. 127)
Symmetry-distinct sites (fractional):
Sc (0.1717, 0.3283, 0.0000) [4 per cell]
Al (0.0000, 0.0000, 0.0000) [2 per cell]
Ge (0.1287, 0.6287, 0.0000) [4 per cell]
Ir (0.0000, 0.5000, 0.5000) [2 per cell]
Ir (0.0662, 0.7984, 0.5000) [8 per cell]



[6]
The following is a DFT calculation (PBE) of a relaxed structure of HoMnFe4.

Values from the calculation:
The density of states at the Fermi level comes out at 26.291 states/eV/cell. The density is 8.80 g/cm3. The value obtained for the formation energy is 0.037 eV/atom.

Unit cell a=6.9434 b=6.9434 c=6.9434 alpha=90.00 beta=90.00 gamma=90.00
Space group F-43m (No. 216)
Symmetry-distinct sites (fractional):
Ho (0.0000, 0.0000, 0.0000) [4 per cell]
Mn (0.2500, 0.2500, 0.7500) [4 per cell]
Fe (0.1240, 0.1240, 0.3760) [16 per cell]



[7]
The following is a DFT calculation (PBE) of a relaxed structure of KPuTi2O8.

Values from the calculation:
As for the formation energy (no corrections): -30.678 eV/f.u. The density is 4.40 g/cm3.

Unit cell a=8.4956 b=6.2808 c=7.4400 alpha=90.00 beta=105.71 gamma=90.00
Space group C2/m (No. 12)
Symmetry-distinct sites (fractional):
K (0.0000, 0.0000, 0.0000) [2 per cell]
Pu (0.0000, 0.0000, 0.5000) [2 per cell]
Ti (0.0360, 0.5000, 0.1978) [4 per cell]
O (0.0075, 0.2391, 0.3007) [8 per cell]
O (0.1478, 0.5000, 0.0144) [4 per cell]
O (0.2244, 0.0000, 0.5851) [4 per cell]



[8]
The following is a DFT calculation (PBE) of a relaxed structure of CdCo2Rh.

Values from the calculation:
The density of states at the Fermi level comes out at 12.031 states/eV/cell. The density is 9.80 g/cm3. The value obtained for the formation energy is 0.241 eV/atom.

Unit cell a=3.8472 b=3.8472 c=7.6264 alpha=90.00 beta=90.00 gamma=90.00
Space group I-4m2 (No. 119)
Symmetry-distinct sites (fractional):
Cd (0.0000, 0.0000, 0.0000) [2 per cell]
Co (0.0000, 0.0000, 0.5000) [2 per cell]
Co (0.0000, 0.5000, 0.7500) [2 per cell]
Rh (0.0000, 0.5000, 0.2500) [2 per cell]



[9]
The following is a DFT calculation (PBE) of a relaxed structure of NbFeBi2Pb.

Values from the calculation:
The density of states at the Fermi level comes out at 5.756 states/eV/cell. The calculation puts the energy above the most stable polymorph in this dataset at 0 meV/atom. The density is 10.06 g/cm3. The value obtained for the formation energy is 0.661 eV/atom.

Unit cell a=5.1389 b=5.1389 c=4.8390 alpha=90.00 beta=90.00 gamma=90.00
Space group P4/mmm (No. 123)
Symmetry-distinct sites (fractional):
Nb (0.0000, 0.0000, 0.0000) [1 per cell]
Fe (0.0000, 0.0000, 0.5000) [1 per cell]
Bi (0.0000, 0.5000, 0.5000) [2 per cell]
Pb (0.5000, 0.5000, 0.0000) [1 per cell]



[10]
The following is a DFT calculation (PBE) of a relaxed structure of Sr4Se2NCl.

Values from the calculation:
As for the formation energy (no corrections): -12.970 eV/f.u. The density is 4.22 g/cm3.

Unit cell a=7.3103 b=4.2602 c=7.4528 alpha=90.00 beta=108.96 gamma=90.00
Space group P2/m (No. 10)
Symmetry-distinct sites (fractional):
Sr (0.2243, 0.0000, 0.2885) [2 per cell]
Sr (0.2275, 0.5000, 0.7237) [2 per cell]
Se (0.5000, 0.0000, 0.0000) [1 per cell]
Se (0.5000, 0.5000, 0.5000) [1 per cell]
N (0.0000, 0.0000, 0.5000) [1 per cell]
Cl (0.0000, 0.5000, 0.0000) [1 per cell]



[11]
The following is a DFT calculation (PBE) of a relaxed structure of Y2TmH.

Values from the calculation:
The density of states at the Fermi level comes out at 14.382 states/eV/cell. The calculation puts the energy above the most stable polymorph in this dataset at 11 meV/atom. The density is 6.10 g/cm3.

Unit cell a=3.5812 b=3.5812 c=25.5504 alpha=90.00 beta=90.00 gamma=120.00
Space group R3m (No. 160, hexagonal axes)
Symmetry-distinct sites (fractional):
Y (0.0000, 0.0000, 0.0000) [3 per cell]
Y (0.0000, 0.0000, 0.2230) [3 per cell]
Tm (0.0000, 0.0000, 0.4438) [3 per cell]
H (0.0000, 0.0000, 0.6107) [3 per cell]



[12]
The following is a DFT calculation (PBE) of a relaxed structure of AcPuCdPt.

Values from the calculation:
The density of states at the Fermi level comes out at 44.314 states/eV/cell. The density is 11.93 g/cm3. The value obtained for the formation energy is -0.395 eV/atom.

Unit cell a=7.5688 b=7.5688 c=7.5688 alpha=90.00 beta=90.00 gamma=90.00
Space group F-43m (No. 216)
Symmetry-distinct sites (fractional):
Ac (0.0000, 0.0000, 0.0000) [4 per cell]
Pu (0.0000, 0.0000, 0.5000) [4 per cell]
Cd (0.2500, 0.2500, 0.2500) [4 per cell]
Pt (0.2500, 0.2500, 0.7500) [4 per cell]



[13]
The following is a DFT calculation (PBE) of a relaxed structure of NaGaAg3.

Values from the calculation:
The density of states at the Fermi level comes out at 1.537 states/eV/cell. The calculation puts the energy above the most stable polymorph in this dataset at 756 meV/atom. The density is 5.34 g/cm3. The value obtained for the formation energy is 0.754 eV/atom.

Unit cell a=5.0601 b=5.0601 c=5.0601 alpha=90.00 beta=90.00 gamma=90.00
Space group Pm-3m (No. 221)
Symmetry-distinct sites (fractional):
Na (0.0000, 0.0000, 0.0000) [1 per cell]
Ga (0.5000, 0.5000, 0.5000) [1 per cell]
Ag (0.0000, 0.0000, 0.5000) [3 per cell]



[14]
The following is a DFT calculation (PBE) of a relaxed structure of TmSc2Tl.

Values from the calculation:
The density of states at the Fermi level comes out at 14.380 states/eV/cell. The calculation puts the energy above the most stable polymorph in this dataset at 96 meV/atom. The density is 7.38 g/cm3. The value obtained for the formation energy is -0.081 eV/atom.

Unit cell a=3.4057 b=3.4057 c=31.1338 alpha=90.00 beta=90.00 gamma=120.00
Space group R3m (No. 160, hexagonal axes)
Symmetry-distinct sites (fractional):
Tm (0.0000, 0.0000, 0.0000) [3 per cell]
Sc (0.0000, 0.0000, 0.2469) [3 per cell]
Sc (0.0000, 0.0000, 0.4197) [3 per cell]
Tl (0.0000, 0.0000, 0.8335) [3 per cell]



[15]
The following is a DFT calculation (PBE) of a relaxed structure of MgTaNbO6.

Values from the calculation:
As for the formation energy (no corrections): -24.034 eV/f.u. The density of states at the Fermi level comes out at 0.000 states/eV/cell. The density is 6.02 g/cm3.

Unit cell a=5.2382 b=5.2382 c=9.1503 alpha=90.00 beta=90.00 gamma=120.00
Space group P-31c (No. 163)
Symmetry-distinct sites (fractional):
Mg (0.0000, 0.0000, 0.0000) [2 per cell]
Ta (0.3333, 0.6667, 0.2500) [2 per cell]
Nb (0.3333, 0.6667, 0.7500) [2 per cell]
O (0.0024, 0.3509, 0.1332) [12 per cell]



[16]
The following is a DFT calculation (PBE) of a relaxed structure of V6Co2C.

Values from the calculation:
The density of states at the Fermi level comes out at 18.825 states/eV/cell. The density is 6.54 g/cm3. The value obtained for the formation energy is -0.092 eV/atom.

Unit cell a=5.3233 b=5.4019 c=9.3227 alpha=90.00 beta=124.44 gamma=90.00
Space group P2_1/c (No. 14)
Symmetry-distinct sites (fractional):
V (0.1701, 0.0162, 0.2514) [4 per cell]
V (0.2745, 0.7181, 0.0399) [4 per cell]
V (0.3275, 0.2303, 0.0393) [4 per cell]
Co (0.2568, 0.0017, 0.7514) [4 per cell]
C (0.0000, 0.0000, 0.0000) [2 per cell]



[17]
The following is a DFT calculation (PBE) of a relaxed structure of Rb3VSe4.

Values from the calculation:
As for the formation energy (no corrections): -7.874 eV/f.u. The density is 3.40 g/cm3.

Unit cell a=7.2639 b=10.5111 c=7.9613 alpha=90.00 beta=90.00 gamma=90.00
Space group Imm2 (No. 44)
Symmetry-distinct sites (fractional):
Rb (0.0000, 0.0000, 0.0000) [2 per cell]
Rb (0.0000, 0.2430, 0.4125) [4 per cell]
V (0.0000, 0.5000, 0.9871) [2 per cell]
Se (0.0000, 0.3169, 0.8256) [4 per cell]
Se (0.2477, 0.0000, 0.6556) [4 per cell]



[18]
The following is a DFT calculation (PBE) of a relaxed structure of CePrTl3.

Values from the calculation:
The density of states at the Fermi level comes out at 94.888 states/eV/cell. The density is 9.08 g/cm3. The value obtained for the formation energy is 0.008 eV/atom.

Unit cell a=9.2189 b=13.1900 c=10.7643 alpha=90.00 beta=90.00 gamma=90.00
Space group Cmcm (No. 63)
Symmetry-distinct sites (fractional):
Ce (0.0000, 0.1100, 0.2500) [4 per cell]
Ce (0.0000, 0.3859, 0.7500) [4 per cell]
Pr (0.2500, 0.2500, 0.0000) [8 per cell]
Tl (0.0000, 0.1070, 0.5982) [8 per cell]
Tl (0.1736, 0.3691, 0.2500) [8 per cell]
Tl (0.1861, 0.5000, 0.0000) [8 per cell]



[19]
The following is a DFT calculation (PBE) of a relaxed structure of Pr9Y2Er.

Values from the calculation:
The density of states at the Fermi level comes out at 19.629 states/eV/cell. The density is 6.37 g/cm3. The value obtained for the formation energy is 0.012 eV/atom.

Unit cell a=5.1930 b=5.1930 c=15.5882 alpha=90.00 beta=90.00 gamma=90.00
Space group P4/mmm (No. 123)
Symmetry-distinct sites (fractional):
Pr (0.0000, 0.0000, 0.0000) [1 per cell]
Pr (0.0000, 0.0000, 0.3327) [2 per cell]
Pr (0.0000, 0.5000, 0.1655) [4 per cell]
Pr (0.0000, 0.5000, 0.5000) [2 per cell]
Y (0.5000, 0.5000, 0.3328) [2 per cell]
Er (0.5000, 0.5000, 0.0000) [1 per cell]



[20]
The following is a DFT calculation (PBE) of a relaxed structure of ZnF.

Values from the calculation:
As for the formation energy (no corrections): -3.257 eV/f.u. The density is 3.81 g/cm3.

Unit cell a=9.9896 b=9.9896 c=2.9520 alpha=90.00 beta=90.00 gamma=90.00
Space group I4/m (No. 87)
Symmetry-distinct sites (fractional):
Zn (0.1680, 0.6885, 0.0000) [8 per cell]
F (0.0153, 0.6862, 0.5000) [8 per cell]



[21]
The following is a DFT calculation (PBE) of a relaxed structure of RbCd2Ge.

Values from the calculation:
The density of states at the Fermi level comes out at 4.101 states/eV/cell. The density is 4.72 g/cm3. The value obtained for the formation energy is 0.013 eV/atom.

Unit cell a=4.9055 b=4.9055 c=19.3818 alpha=90.00 beta=90.00 gamma=120.00
Space group R-3m (No. 166, hexagonal axes)
Symmetry-distinct sites (fractional):
Rb (0.0000, 0.0000, 0.0000) [3 per cell]
Cd (0.0000, 0.0000, 0.1996) [6 per cell]
Ge (0.0000, 0.0000, 0.5000) [3 per cell]



[22]
The following is a DFT calculation (PBE) of a relaxed structure of LaPrHg3.

Values from the calculation:
The density of states at the Fermi level comes out at 16.802 states/eV/cell. The density is 10.48 g/cm3. The value obtained for the formation energy is -0.456 eV/atom.

Unit cell a=3.6429 b=30.1729 c=5.0834 alpha=90.00 beta=90.00 gamma=90.00
Space group Cmcm (No. 63)
Symmetry-distinct sites (fractional):
La (0.0000, 0.0744, 0.2500) [4 per cell]
Pr (0.0000, 0.2095, 0.7500) [4 per cell]
Hg (0.0000, 0.3223, 0.7500) [4 per cell]
Hg (0.0000, 0.3798, 0.2500) [4 per cell]
Hg (0.0000, 0.4765, 0.2500) [4 per cell]